1.
The following is a DFT calculation (PBE-GGA) of a geometry-optimized Sc2GeO5 structure.

Raw formation energy, meV per atom: -2825
Energy relative to the lowest polymorph listed for this composition, kJ per mole of atoms: 4.26

a = 6.634 Å, b = 7.757 Å, c = 9.649 Å
α = 71.07°, β = 69.89°, γ = 64.68°
Fractional positions:
Sc 0.194 0.598 0.502
Sc 0.479 0.929 0.349
Sc 0.806 0.402 0.498
Sc 0.295 0.902 0.998
Sc 0.705 0.098 0.002
Sc 0.243 0.429 0.849
Sc 0.757 0.571 0.151
Sc 0.521 0.071 0.651
O 0.436 0.612 0.127
O 0.175 0.888 0.373
O 0.532 0.797 0.805
O 0.614 0.868 0.112
O 0.564 0.388 0.873
O 0.825 0.112 0.627
O 0.294 0.034 0.560
O 0.594 0.632 0.388
O 0.111 0.482 0.370
O 0.112 0.534 0.060
O 0.038 0.982 0.870
O 0.706 0.966 0.440
O 0.468 0.203 0.195
O 0.889 0.518 0.630
O 0.406 0.368 0.612
O 0.962 0.018 0.130
O 0.386 0.132 0.888
O 0.133 0.703 0.695
O 0.867 0.297 0.305
O 0.888 0.466 0.940
Ge 0.078 0.949 0.688
Ge 0.715 0.551 0.812
Ge 0.285 0.449 0.188
Ge 0.922 0.051 0.312

2.
The following is a DFT calculation (PBE-GGA) of a geometry-optimized Sc2GeO structure.

Raw formation energy, meV per atom: -1304
Energy relative to the lowest polymorph listed for this composition, kJ per mole of atoms: 45.93

a = 8.093 Å, b = 8.093 Å, c = 8.093 Å
α = 22.82°, β = 22.82°, γ = 22.82°
Fractional positions:
Sc 0.887 0.887 0.887
Sc 0.113 0.113 0.113
Ge 0.000 0.000 0.000
O 0.500 0.500 0.500

3.
The following is a DFT calculation (PBE-GGA) of a geometry-optimized ScGeO2 structure.

Raw formation energy, meV per atom: -1840

a = 5.267 Å, b = 5.267 Å, c = 6.047 Å
α = 64.18°, β = 64.18°, γ = 90.00°
Fractional positions:
O 0.875 0.800 0.750
O 0.200 0.625 0.250
O 0.375 0.450 0.750
O 0.550 0.125 0.250
Ge 0.750 0.250 0.500
Ge 0.000 0.000 0.000
Sc 0.500 0.500 0.000
Sc 0.250 0.750 0.500

4.
The following is a DFT calculation (PBE-GGA) of a geometry-optimized ScGeO structure.

Raw formation energy, meV per atom: -1962
Energy relative to the lowest polymorph listed for this composition, kJ per mole of atoms: 11.69

a = 10.360 Å, b = 4.230 Å, c = 4.278 Å
α = 90.00°, β = 107.14°, γ = 90.00°
Fractional positions:
O 0.089 0.500 0.313
O 0.911 0.500 0.687
O 0.911 0.000 0.187
O 0.089 0.000 0.813
Ge 0.374 0.000 0.909
Ge 0.374 0.500 0.409
Ge 0.626 0.000 0.091
Ge 0.626 0.500 0.591
Sc 0.863 0.500 0.158
Sc 0.863 0.000 0.658
Sc 0.137 0.500 0.842
Sc 0.137 0.000 0.342

5.
The following is a DFT calculation (PBE-GGA) of a geometry-optimized ScGe2O structure.

Raw formation energy, meV per atom: -374

a = 6.340 Å, b = 6.340 Å, c = 5.694 Å
α = 56.17°, β = 56.17°, γ = 90.00°
Fractional positions:
Ge 0.540 0.125 0.250
Ge 0.875 0.790 0.750
Ge 0.210 0.625 0.250
Ge 0.375 0.460 0.750
Sc 0.000 0.000 0.000
Sc 0.750 0.250 0.500
O 0.500 0.500 0.000
O 0.250 0.750 0.500

6.
The following is a DFT calculation (PBE-GGA) of a geometry-optimized ScGeO2 structure.

Raw formation energy, meV per atom: -2337

a = 6.666 Å, b = 6.666 Å, c = 6.666 Å
α = 27.13°, β = 27.13°, γ = 27.13°
Fractional positions:
Sc 0.500 0.500 0.500
O 0.890 0.890 0.890
O 0.110 0.110 0.110
Ge 0.000 0.000 0.000